A plane-wave DFT calculation with GGA-PBEsol was carried out for a relaxed Ta5Au crystal.

Properties
Raw total energy = -10.411 eV per atom
Space-group type = No. 191
Energy above the most stable polymorph in this dataset = 737 meV/atom

abc: 4.447 5.511 5.511
angles: 120.00 90.00 90.00
Positions (direct):
1 Ta 0.500 0.500 0.500
2 Ta 0.000 0.667 0.333
3 Ta 0.000 0.333 0.667
4 Ta 0.500 0.000 0.500
5 Ta 0.500 0.500 0.000
6 Au 0.000 0.000 0.000

---

A plane-wave DFT calculation with GGA-PBEsol was carried out for a relaxed Ta3Au4 crystal.

Properties
Raw total energy = -7.711 eV per atom
Space-group type = No. 139

abc: 3.412 3.412 10.532
angles: 99.32 99.32 90.00
Positions (direct):
1 Au 0.859 0.859 0.718
2 Au 0.429 0.429 0.858
3 Au 0.141 0.141 0.282
4 Au 0.571 0.571 0.142
5 Ta 0.714 0.714 0.428
6 Ta 0.000 0.000 0.000
7 Ta 0.286 0.286 0.572

---

A plane-wave DFT calculation with GGA-PBEsol was carried out for a relaxed TaTc2Au crystal.

Properties
Raw total energy = -9.639 eV per atom
Space-group type = No. 12
Energy above the most stable polymorph in this dataset = 194 meV/atom

abc: 2.942 4.745 4.798
angles: 101.69 90.00 108.06
Positions (direct):
1 Ta 0.500 0.000 0.000
2 Tc 0.754 0.508 0.753
3 Tc 0.246 0.492 0.247
4 Au 0.000 0.000 0.500

---

A plane-wave DFT calculation with GGA-PBEsol was carried out for a relaxed TaTc2Au crystal.

Properties
Raw total energy = -9.647 eV per atom
Space-group type = No. 139
Energy above the most stable polymorph in this dataset = 186 meV/atom

abc: 3.989 3.989 4.787
angles: 114.62 114.62 90.00
Positions (direct):
1 Tc 0.250 0.250 0.500
2 Tc 0.750 0.750 0.500
3 Au 0.000 0.500 0.000
4 Ta 0.500 0.000 0.000

---

A plane-wave DFT calculation with GGA-PBEsol was carried out for a relaxed TaTcAu3 crystal.

Properties
Raw total energy = -5.264 eV per atom
Space-group type = No. 221

abc: 4.803 4.803 4.803
angles: 90.00 90.00 90.00
Positions (direct):
1 Au 0.500 0.000 0.000
2 Au 0.000 0.000 0.500
3 Au 0.000 0.500 0.000
4 Tc 0.000 0.000 0.000
5 Ta 0.500 0.500 0.500

---

A plane-wave DFT calculation with GGA-PBEsol was carried out for a relaxed TaTc3Au crystal.

Properties
Raw total energy = -7.580 eV per atom
Space-group type = No. 221

abc: 4.643 4.643 4.643
angles: 90.00 90.00 90.00
Positions (direct):
1 Tc 0.000 0.000 0.500
2 Tc 0.000 0.500 0.000
3 Tc 0.500 0.000 0.000
4 Ta 0.500 0.500 0.500
5 Au 0.000 0.000 0.000

---

A plane-wave DFT calculation with GGA-PBEsol was carried out for a relaxed Ta2TcAu2 crystal.

Properties
Raw total energy = -8.272 eV per atom
Space-group type = No. 139

abc: 3.557 3.557 7.639
angles: 103.46 103.46 90.00
Positions (direct):
1 Ta 0.409 0.409 0.817
2 Ta 0.591 0.591 0.183
3 Au 0.750 0.250 0.500
4 Au 0.250 0.750 0.500
5 Tc 0.000 0.000 0.000

---

A plane-wave DFT calculation with GGA-PBEsol was carried out for a relaxed TaTc2Au crystal.

Properties
Raw total energy = -9.833 eV per atom
Space-group type = No. 123
Energy above the most stable polymorph in this dataset = 0 meV/atom

abc: 3.893 3.955 3.955
angles: 90.00 90.00 90.00
Positions (direct):
1 Au 0.500 0.500 0.500
2 Ta 0.500 0.000 0.000
3 Tc 0.000 0.000 0.500
4 Tc 0.000 0.500 0.000

---

A plane-wave DFT calculation with GGA-PBEsol was carried out for a relaxed TaTeAu2 crystal.

Properties
Raw total energy = -5.651 eV per atom
Space-group type = No. 123
E_form (uncorrected) = 0.330 eV per atom

abc: 4.055 4.055 4.553
angles: 90.00 90.00 90.00
Positions (direct):
1 Au 0.500 0.000 0.000
2 Au 0.000 0.500 0.000
3 Te 0.000 0.000 0.500
4 Ta 0.500 0.500 0.500

---

A plane-wave DFT calculation with GGA-PBEsol was carried out for a relaxed TaTe2Au crystal.

Properties
Raw total energy = -5.869 eV per atom
Space-group type = No. 123
Energy above the most stable polymorph in this dataset = 0 meV/atom
E_form (uncorrected) = 0.013 eV per atom

abc: 3.504 3.504 6.726
angles: 90.00 90.00 90.00
Positions (direct):
1 Te 0.000 0.000 0.734
2 Te 0.000 0.000 0.266
3 Ta 0.500 0.500 0.500
4 Au 0.500 0.500 0.000

---

A plane-wave DFT calculation with GGA-PBEsol was carried out for a relaxed Ta2TeAu crystal.

Properties
Raw total energy = -8.011 eV per atom
Space-group type = No. 65
E_form (uncorrected) = 0.127 eV per atom

abc: 3.149 4.790 4.790
angles: 90.07 89.99 89.99
Positions (direct):
1 Au 0.500 0.000 0.000
2 Te 0.500 0.500 0.500
3 Ta 0.000 0.000 0.500
4 Ta 0.000 0.500 0.000

---

A plane-wave DFT calculation with GGA-PBEsol was carried out for a relaxed Ta2TeAu crystal.

Properties
Raw total energy = -7.957 eV per atom
Space-group type = No. 12
E_form (uncorrected) = 0.181 eV per atom

abc: 3.333 4.912 4.966
angles: 99.18 109.61 90.00
Positions (direct):
1 Ta 0.756 0.772 0.512
2 Ta 0.244 0.228 0.488
3 Au 0.500 0.000 0.000
4 Te 0.000 0.500 0.000